# 1
Material: HfRu3Pb
Method: DFT, GGA-PBE
State: relaxed

Calculated values
- Crystal system: cubic
- Total magnetization: 1.970 μB/f.u.
- ΔE_f: 126 kJ per mole of atoms
- Distance to the lowest polymorph of the same formula: 0 meV per atom
- Space-group type: Pm-3m (221)

Structure (extended XYZ):
```
5
Lattice="4.807 0.000 0.000 0.000 4.807 0.000 0.000 0.000 4.807" Properties=species:S:1:pos:R:3 pbc="T T T"
Hf 0.000 0.000 0.000
Ru 0.000 0.000 2.403
Ru 0.000 2.403 0.000
Ru 2.403 0.000 0.000
Pb 2.403 2.403 2.403
```

# 2
Material: HfRuPb2
Method: DFT, GGA-PBE
State: relaxed

Calculated values
- Crystal system: cubic
- Total magnetization: 0.000 μB/f.u.
- ΔE_f: 37 kJ per mole of atoms
- Distance to the lowest polymorph of the same formula: 0 meV per atom
- Space-group type: Fm-3m (225)

Structure (extended XYZ):
```
4
Lattice="0.000 3.480 3.480 3.480 0.000 3.480 3.480 3.480 0.000" Properties=species:S:1:pos:R:3 pbc="T T T"
Hf 0.000 0.000 0.000
Ru 3.480 3.480 3.480
Pb 1.740 1.740 1.740
Pb 5.220 5.220 5.220
```

# 3
Material: HfRuPb3
Method: DFT, GGA-PBE
State: relaxed

Calculated values
- Crystal system: cubic
- Total magnetization: 2.856 μB/f.u.
- ΔE_f: 124 kJ per mole of atoms
- Distance to the lowest polymorph of the same formula: 472 meV per atom
- Space-group type: Pm-3m (221)

Structure (extended XYZ):
```
5
Lattice="5.562 0.000 0.000 0.000 5.562 0.000 0.000 0.000 5.562" Properties=species:S:1:pos:R:3 pbc="T T T"
Hf 0.000 0.000 0.000
Ru 2.781 2.781 2.781
Pb 0.000 0.000 2.781
Pb 0.000 2.781 0.000
Pb 2.781 0.000 0.000
```

# 4
Material: Hf2RuPb
Method: DFT, GGA-PBE
State: relaxed

Calculated values
- Crystal system: tetragonal
- Total magnetization: 0.000 μB/f.u.
- ΔE_f: 15 kJ per mole of atoms
- Distance to the lowest polymorph of the same formula: 453 meV per atom
- Space-group type: I-42d (122)

Structure (extended XYZ):
```
8
Lattice="-3.839 3.839 3.025 3.839 -3.839 3.025 3.839 3.839 -3.025" Properties=species:S:1:pos:R:3 pbc="T T T"
Hf 5.758 1.501 -0.756
Hf 1.501 1.919 0.756
Hf -1.919 2.337 2.268
Hf 2.337 1.919 3.781
Ru 0.000 0.000 0.000
Ru 0.000 3.839 1.512
Pb 3.839 0.000 1.512
Pb 0.000 0.000 3.025
```

# 5
Material: HfScRu2Pb
Method: DFT, GGA-PBE
State: relaxed

Calculated values
- Crystal system: tetragonal
- Total magnetization: 0.843 μB/f.u.
- ΔE_f: 107 kJ per mole of atoms
- Space-group type: P4/mmm (123)

Structure (extended XYZ):
```
5
Lattice="4.634 0.000 0.000 0.000 4.634 0.000 0.000 0.000 5.142" Properties=species:S:1:pos:R:3 pbc="T T T"
Hf 0.000 0.000 0.000
Sc 0.000 0.000 2.571
Ru 0.000 2.317 2.571
Ru 2.317 0.000 2.571
Pb 2.317 2.317 0.000
```

# 6
Material: HfRuPbW2
Method: DFT, GGA-PBE
State: relaxed

Calculated values
- Crystal system: tetragonal
- Total magnetization: 0.000 μB/f.u.
- ΔE_f: 237 kJ per mole of atoms
- Space-group type: P4/mmm (123)

Structure (extended XYZ):
```
5
Lattice="4.960 0.000 0.000 0.000 4.960 0.000 0.000 0.000 4.817" Properties=species:S:1:pos:R:3 pbc="T T T"
Hf 0.000 0.000 0.000
Ru 2.480 2.480 0.000
Pb 2.480 2.480 2.408
W 0.000 2.480 2.408
W 2.480 0.000 2.408
```

# 7
Material: YHf2RuPb
Method: DFT, GGA-PBE
State: relaxed

Calculated values
- Crystal system: tetragonal
- Total magnetization: 1.603 μB/f.u.
- ΔE_f: 187 kJ per mole of atoms
- Space-group type: P4/mmm (123)

Structure (extended XYZ):
```
5
Lattice="5.085 0.000 0.000 0.000 5.085 0.000 0.000 0.000 5.497" Properties=species:S:1:pos:R:3 pbc="T T T"
Y 0.000 0.000 0.000
Hf 0.000 2.542 0.000
Hf 2.542 0.000 0.000
Ru 2.542 2.542 2.749
Pb 0.000 0.000 2.749
```

# 8
Material: HfZnRu2Pb
Method: DFT, GGA-PBE
State: relaxed

Calculated values
- Crystal system: tetragonal
- Total magnetization: 0.000 μB/f.u.
- ΔE_f: 147 kJ per mole of atoms
- Space-group type: P4/mmm (123)

Structure (extended XYZ):
```
5
Lattice="4.934 0.000 0.000 0.000 4.934 0.000 0.000 0.000 4.704" Properties=species:S:1:pos:R:3 pbc="T T T"
Hf 0.000 0.000 0.000
Zn 2.467 2.467 0.000
Ru 0.000 2.467 2.352
Ru 2.467 0.000 2.352
Pb 2.467 2.467 2.352
```

# 9
Material: HfPbS2
Method: DFT, GGA-PBE
State: relaxed

Calculated values
- Crystal system: orthorhombic
- Uncorrected formation energy: -636 meV/atom
- Total magnetization: 0.241 μB/f.u.
- Space-group type: Cmcm (63)

Structure (extended XYZ):
```
8
Lattice="1.850 -10.576 0.000 1.850 10.576 0.000 0.000 0.000 4.931" Properties=species:S:1:pos:R:3 pbc="T T T"
Hf 1.850 9.381 3.699
Hf 1.850 -9.381 1.233
Pb 1.850 3.838 3.699
Pb 1.850 -3.838 1.233
S 1.850 9.245 1.233
S 1.850 6.801 3.699
S 1.850 -6.801 1.233
S 1.850 -9.245 3.699
```

# 10
Material: HfPbS2
Method: DFT, GGA-PBE
State: relaxed

Calculated values
- Crystal system: orthorhombic
- Uncorrected formation energy: -958 meV/atom
- Total magnetization: 0.000 μB/f.u.
- Space-group type: Pnma (62)

Structure (extended XYZ):
```
16
Lattice="5.892 0.000 0.000 0.000 3.343 0.000 0.000 0.000 20.858" Properties=species:S:1:pos:R:3 pbc="T T T"
Hf 0.534 0.836 4.229
Hf 2.412 2.507 14.658
Hf 3.480 0.836 6.200
Hf 5.358 2.507 16.629
Pb 0.740 2.507 9.087
Pb 2.206 0.836 19.516
Pb 3.686 2.507 1.342
Pb 5.152 0.836 11.771
S 1.139 2.507 2.448
S 1.442 0.836 16.387
S 1.504 2.507 5.958
S 1.806 0.836 12.877
S 4.085 2.507 7.981
S 4.388 0.836 14.900
S 4.450 2.507 4.471
S 4.752 0.836 18.410
```

# 11
Material: HfPbS2
Method: DFT, GGA-PBE
State: relaxed

Calculated values
- Crystal system: tetragonal
- Uncorrected formation energy: -596 meV/atom
- Total magnetization: 0.000 μB/f.u.
- Space-group type: I-42d (122)

Structure (extended XYZ):
```
8
Lattice="-3.262 3.262 5.585 3.262 -3.262 5.585 3.262 3.262 -5.585" Properties=species:S:1:pos:R:3 pbc="T T T"
Hf 0.000 0.000 0.000
Hf 0.000 3.262 2.793
Pb 3.262 0.000 2.793
Pb 0.000 0.000 5.585
S 4.893 1.113 -1.396
S 1.113 1.631 1.396
S -1.631 2.149 4.189
S 2.149 1.631 6.981
```

# 12
Material: HfPbS3
Method: DFT, GGA-PBE
State: relaxed

Calculated values
- Crystal system: cubic
- Uncorrected formation energy: 652 meV/atom
- Total magnetization: 0.848 μB/f.u.
- Distance to the lowest polymorph of the same formula: 1813 meV per atom
- Space-group type: Pm-3m (221)

Structure (extended XYZ):
```
5
Lattice="5.025 0.000 0.000 0.000 5.025 0.000 0.000 0.000 5.025" Properties=species:S:1:pos:R:3 pbc="T T T"
Hf 0.000 0.000 0.000
Pb 2.513 2.513 2.513
S 0.000 2.513 2.513
S 2.513 0.000 2.513
S 2.513 2.513 0.000
```

no.,calculated volume (A^3/atom)
1,22.21
2,21.07
3,34.41
4,22.29
5,22.08
6,23.70
7,28.43
8,22.90
9,24.12
10,25.67
11,29.72
12,25.38